Record 1
The following is a DFT calculation (PBE) of a relaxed structure of SmFeCo2.

Unit cell a=4.8265 b=4.5094 c=12.0001 alpha=90.00 beta=90.00 gamma=90.00
With the nearest neighbours (Å) after each atom.
Space group Pmma (No. 51)
Unique sites:
Sm1 0.2500 0.0000 0.0940  8 Co 2.78-2.79
Sm2 0.2500 0.5000 0.3089  3 Fe 2.85-2.98
Fe1 0.2500 0.0000 0.6700  4 Co 2.34-2.37
Fe2 0.2500 0.5000 0.5460  4 Co 2.62, 4 Fe 2.65-2.70, 1 Sm 2.85
Co1 0.0000 0.0000 0.5000  6 Fe 2.37-2.62, 2 Co 2.41
Co2 0.0000 0.5000 0.0000  6 Co 2.41-2.53
Co3 0.2500 0.2532 0.8401  2 Co 2.23-2.28, 1 Fe 2.34

Values from the calculation:
Formation energy from the elements (eV/f.u.): 0.4
Calculated total energy (eV/atom): -6.75
Magnetic moment (Bohr magnetons per cell): 15.65
D(E_F) (states/eV/cell): 19.0
Density (g cm⁻³): 8.24

Record 2
The following is a DFT calculation (PBE) of a relaxed structure of Sm2Fe15Co2.

Unit cell a=9.6681 b=8.5163 c=6.4133 alpha=90.00 beta=100.19 gamma=90.00
With the nearest neighbours (Å) after each atom.
Space group Cm (No. 8)
Unique sites:
Sm1 0.0000 0.0000 0.0000  15 Fe 2.99-3.29, 4 Co 3.21-3.23
Sm2 0.1825 0.5000 0.3202  17 Fe 2.99-3.28, 2 Co 3.12
Fe1 0.0916 0.2515 0.6603  1 Co 2.43, 9 Fe 2.44-2.61
Fe2 0.1854 0.5000 0.8212  7 Fe 2.46-2.67, 2 Co 2.46
Fe3 0.1918 0.1476 0.3632  7 Fe 2.45-2.63, 1 Co 2.63
Fe4 0.2446 0.0000 0.7545  5 Fe 2.40-2.62, 2 Co 2.63
Fe5 0.3406 0.0000 0.1595  2 Co 2.44, 8 Fe 2.45-2.60
Fe6 0.3417 0.2883 0.6604  7 Fe 2.44-2.67, 1 Co 2.52
Fe7 0.4317 0.2499 0.3176  1 Co 2.44, 8 Fe 2.45-2.64
Fe8 0.4367 0.0000 0.5637  7 Fe 2.40-2.67
Fe9 0.4898 0.1464 0.9559  6 Fe 2.45-2.63, 2 Co 2.53-2.64
Fe10 0.4988 0.5000 0.5060  9 Fe 2.46-2.66
Co1 0.2501 0.2475 0.0000  9 Fe 2.43-2.64

Values from the calculation:
Formation energy from the elements (eV/f.u.): -0.2
Calculated total energy (eV/atom): -7.94
Magnetic moment (Bohr magnetons per cell): 77.42
D(E_F) (states/eV/cell): 34.1
Density (g cm⁻³): 8.03

Record 3
The following is a DFT calculation (PBE) of a relaxed structure of Sm2ZnFe2Co5.

Unit cell a=8.9470 b=8.9470 c=3.7516 alpha=90.00 beta=90.00 gamma=90.00
With the nearest neighbours (Å) after each atom.
Space group P4/mbm (No. 127)
Unique sites:
Sm1 0.1871 0.3129 0.0000  3 Fe 2.57-2.75
Zn1 0.0000 0.0000 0.0000  8 Co 2.69
Fe1 0.1102 0.6102 0.0000  6 Co 2.34-2.53, 1 Sm 2.57
Co1 0.0000 0.5000 0.5000  4 Fe 2.34
Co2 0.0546 0.7922 0.5000  2 Fe 2.53, 3 Co 2.66-2.72, 2 Zn 2.69

Values from the calculation:
Formation energy from the elements (eV/f.u.): 0.9
Calculated total energy (eV/atom): -6.23
Magnetic moment (Bohr magnetons per cell): 20.36
D(E_F) (states/eV/cell): 17.2
Density (g cm⁻³): 8.54

Record 4
The following is a DFT calculation (PBE) of a relaxed structure of FeCoSn.

Unit cell a=4.3594 b=4.3594 c=5.2441 alpha=90.00 beta=90.00 gamma=120.00
With the nearest neighbours (Å) after each atom.
Space group P6_3/mmc (No. 194)
Unique sites:
Fe1 0.0000 0.0000 0.0000  2 Fe 2.62, 6 Sn 2.84, 6 Co 2.84
Co1 0.3333 0.6667 0.2500  5 Sn 2.52-2.62
Sn1 0.3333 0.6667 0.7500  5 Co 2.52-2.62

Values from the calculation:
Formation energy from the elements (eV/f.u.): 0.3
Calculated total energy (eV/atom): -6.43
Magnetic moment (Bohr magnetons per cell): 6.63
D(E_F) (states/eV/cell): 6.4
Density (g cm⁻³): 8.98

Record 5
The following is a DFT calculation (PBE) of a relaxed structure of FeCoSn2.

Unit cell a=7.0153 b=7.0153 c=5.9873 alpha=90.00 beta=90.00 gamma=90.00
With the nearest neighbours (Å) after each atom.
Space group I-42d (No. 122)
Unique sites:
Fe1 0.0000 0.0000 0.0000  4 Sn 2.67
Co1 0.0000 0.0000 0.5000  4 Sn 2.52
Sn1 0.2341 0.2500 0.6250  2 Co 2.52, 2 Fe 2.67

Values from the calculation:
Formation energy from the elements (eV/f.u.): 2.3
Calculated total energy (eV/atom): -5.32
Magnetic moment (Bohr magnetons per cell): 7.46
D(E_F) (states/eV/cell): 30.4
Density (g cm⁻³): 7.94

Record 6
The following is a DFT calculation (PBE) of a relaxed structure of FeCoSn2.

Unit cell a=3.1029 b=3.1029 c=27.4317 alpha=90.00 beta=90.00 gamma=120.00
With the nearest neighbours (Å) after each atom.
Space group R-3m (No. 166, hexagonal axes)
Unique sites:
Fe1 0.0000 0.0000 0.0000  6 Sn 2.71
Co1 0.0000 0.0000 0.5000  2 Sn 2.54
Sn1 0.0000 0.0000 0.4075  1 Co 2.54, 3 Fe 2.71

Values from the calculation:
Formation energy from the elements (eV/f.u.): 2.4
Calculated total energy (eV/atom): -5.30
Magnetic moment (Bohr magnetons per cell): 10.51
D(E_F) (states/eV/cell): 21.4
Density (g cm⁻³): 7.67